1.
VASP calculation (GGA-PBEsol) on crystalline Li5Mn6O16 at its relaxed geometry.

abc: 5.6308 5.6308 10.0976
angles: 73.81 73.81 60.00
Closest atoms and distances in Å follow each position.
Fractional coordinates of all 27 atoms:
Mn 0.7513 0.2487 0.7513  6 O 1.82-1.93
Mn 0.7513 0.7513 0.2487  6 O 1.82-1.93
Mn 0.2487 0.7513 0.2487  6 O 1.82-1.93
Mn 0.2487 0.2487 0.7513  6 O 1.82-1.93
Mn 0.2487 0.7513 0.7513  6 O 1.82-1.93
Mn 0.7513 0.2487 0.2487  6 O 1.82-1.93
O 0.1052 0.1052 0.1515  2 Mn 1.82, 1 Li 1.92
O 0.3967 0.3967 0.3544  2 Mn 1.86, 2 Li 1.92-2.03
O 0.8805 0.8805 0.3584  3 Mn 1.93, 1 Li 2.01
O 0.3967 0.8522 0.3544  2 Mn 1.86, 2 Li 1.92-2.03
O 0.8948 0.8948 0.8485  2 Mn 1.82, 1 Li 1.92
O 0.3619 0.8948 0.8485  2 Mn 1.82, 1 Li 1.92
O 0.1195 0.1195 0.6416  3 Mn 1.93, 1 Li 2.01
O 0.6381 0.1052 0.1515  2 Mn 1.82, 1 Li 1.92
O 0.8948 0.3619 0.8485  2 Mn 1.82, 1 Li 1.92
O 0.8522 0.3967 0.3544  2 Mn 1.86, 2 Li 1.92-2.03
O 0.6033 0.1478 0.6456  2 Mn 1.86, 2 Li 1.92-2.03
O 0.1052 0.6381 0.1515  2 Mn 1.82, 1 Li 1.92
O 0.1478 0.6033 0.6456  2 Mn 1.86, 2 Li 1.92-2.03
O 0.6033 0.6033 0.6456  2 Mn 1.86, 2 Li 1.92-2.03
O 0.3805 0.3805 0.8585  3 Mn 1.93, 1 Li 1.96
O 0.6195 0.6195 0.1415  3 Mn 1.93, 1 Li 1.96
Li 0.3120 0.3120 0.0639  4 O 1.92-1.96
Li 0.6880 0.6880 0.9361  4 O 1.92-1.96
Li 0.8105 0.8105 0.5684  4 O 1.92-2.01
Li 0.1895 0.1895 0.4316  4 O 1.92-2.01
Li 0.5000 0.5000 0.5000  6 O 2.03

Properties
D(E_F)	8.8	states/eV/cell
spin magnetization	15.00	μB per cell
calculated density	3.924	g cm⁻³
formation energy without anion corrections	-45.984	eV/f.u.
energy	-7.3471	eV/atom



2.
VASP calculation (GGA-PBEsol) on crystalline Li3Mn2O5 at its relaxed geometry.

abc: 2.8169 5.0784 12.0019
angles: 91.95 96.74 90.00
Closest atoms and distances in Å follow each position.
Fractional coordinates of all 20 atoms:
O 0.3569 0.9669 0.7139  3 Mn 1.94-2.16, 3 Li 2.07-2.08
O 0.0533 0.8655 0.1066  1 Mn 1.77, 2 Li 1.97
O 0.8489 0.5073 0.6978  3 Mn 1.92-2.11
O 0.2462 0.2521 0.4924  2 Mn 1.92, 2 Li 2.07
O 0.7538 0.7479 0.5076  2 Mn 1.92, 2 Li 2.07
O 0.1511 0.4927 0.3022  3 Mn 1.92-2.11
O 0.4447 0.6765 0.8895  2 Mn 1.90, 2 Li 2.04-2.07
O 0.9467 0.1345 0.8934  1 Mn 1.77, 2 Li 1.97
O 0.5553 0.3235 0.1105  2 Mn 1.90, 2 Li 2.04-2.07
O 0.6431 0.0331 0.2861  3 Mn 1.94-2.16, 3 Li 2.07-2.08
Li 0.4045 0.3146 0.8090  6 O 1.97-2.19
Li 0.1979 0.8839 0.3958  6 O 2.07-2.24
Li 0.8021 0.1161 0.6042  6 O 2.07-2.24
Li 0.5955 0.6854 0.1910  6 O 1.97-2.19
Li 0.5000 0.0000 0.0000  6 O 2.03-2.07
Li 0.0000 0.5000 0.0000  6 O 2.15-2.21
Mn 0.9051 0.8385 0.8102  5 O 1.77-1.94
Mn 0.3011 0.6239 0.6022  4 O 1.92
Mn 0.6989 0.3761 0.3978  4 O 1.92
Mn 0.0949 0.1615 0.1898  5 O 1.77-1.94

Properties
D(E_F)	4.0	states/eV/cell
distance to the lowest polymorph of the same formula	58	meV/atom
spin magnetization	13.85	μB per cell
calculated density	4.106	g cm⁻³
formation energy without anion corrections	-18.786	eV/f.u.
energy	-7.0455	eV/atom